24
Lattice="-1.083 -3.927 2.905 4.448 0.263 -2.277 4.791 3.532 7.968" Properties=species:S:1:pos:R:3 comment="GGA+U Li6Fe5NiO12, optimized geometry" m_tot_mub_per_fu=4.0 space_group="C2/m, No. 12" total_energy_ev_per_atom=-5.624 pbc="T T T"
Li 4.292 -2.439 2.609
Li 6.454 1.172 5.408
Li 4.598 -0.234 7.147
Li 3.558 0.101 1.451
Li 1.702 -1.305 3.190
Li 3.864 2.306 5.989
Fe 4.078 -0.066 4.299
Fe 5.922 1.331 2.571
Fe 2.234 -1.463 6.026
Fe 2.594 -1.142 -0.540
Fe 0.771 -2.523 1.168
Ni 0.000 0.000 0.000
O 5.600 -0.778 5.347
O 4.467 -0.538 -0.377
O 0.867 -3.265 2.996
O 5.165 -0.489 2.707
O 3.323 -1.885 4.433
O 2.603 -1.833 1.296
O 5.553 1.700 7.301
O 4.833 1.752 4.164
O 2.991 0.356 5.890
O 7.289 3.132 5.602
O 3.690 0.405 8.974
O 2.557 0.645 3.250

***

24
Lattice="-2.624 -4.181 0.077 3.328 -1.994 4.054 -3.747 2.446 6.176" Properties=species:S:1:pos:R:3 comment="GGA+U Li7Fe4NiO12, optimized geometry" m_tot_mub_per_fu=17.0 space_group="P1, No. 1" total_energy_ev_per_atom=-5.570 pbc="T T T"
Li -0.982 -2.161 7.882
Li 0.887 -3.383 4.820
Li -3.470 -3.433 8.176
Li 1.000 -0.558 4.857
Li 0.552 -0.307 2.736
Li -3.865 -0.355 6.050
Li -1.984 -1.689 2.916
Fe -1.861 1.123 3.220
Fe 0.389 -3.083 2.375
Fe -1.450 -1.911 5.369
Fe -2.591 -4.172 0.380
Ni -3.924 -3.240 5.853
O -2.469 -2.171 9.340
O 0.295 -2.036 6.246
O -2.102 -3.377 6.528
O 1.576 -1.958 3.427
O -1.916 -0.599 6.790
O -0.958 -3.092 3.939
O -4.445 -1.822 7.360
O -0.940 -0.403 4.226
O -3.312 -1.859 4.664
O -0.444 -1.580 1.494
O -3.038 1.192 4.971
O -3.151 -2.993 1.866

***

16
Lattice="5.130 0.002 -0.004 0.015 5.440 0.011 -0.002 0.021 6.477" Properties=species:S:1:pos:R:3 comment="GGA+U Li4Fe3NiO8, optimized geometry" m_tot_mub_per_fu=10.0 space_group="P1, No. 1" e_above_lowest_polymorph_mev_per_atom=350 pbc="T T T"
Li 0.039 0.465 2.439
Li 2.566 2.270 5.665
Li 0.025 3.210 0.824
Li 2.592 4.984 4.040
Fe 0.019 0.478 5.681
Fe 2.526 2.259 2.398
Fe 5.095 3.211 4.060
Ni 2.605 4.975 0.838
O 3.225 0.362 5.733
O 3.174 0.494 2.314
O 0.552 2.298 5.603
O 0.657 2.409 2.543
O 3.215 3.030 3.931
O 3.130 3.193 0.884
O 0.609 4.977 4.136
O 0.722 5.078 0.789

***

22
Lattice="5.917 -0.022 0.003 -0.094 5.952 -0.010 -1.443 -1.550 6.211" Properties=species:S:1:pos:R:3 comment="GGA+U Li4Fe3Ni3O12, optimized geometry" m_tot_mub_per_fu=16.0 space_group="P-1, No. 2" e_above_lowest_polymorph_mev_per_atom=0 pbc="T T T"
Li 4.312 4.468 2.109
Li 0.068 -0.087 4.095
Li 2.912 2.965 -0.004
Li -0.047 2.976 -0.005
Fe -0.012 2.934 4.132
Fe 2.959 -0.011 0.001
Fe 4.392 1.446 2.072
Ni 2.913 2.945 4.116
Ni 0.000 0.000 0.000
Ni 1.467 1.436 2.088
O -0.003 2.903 6.041
O 3.072 0.113 2.005
O 2.974 3.079 6.160
O -0.145 0.145 1.958
O 1.330 1.612 4.108
O 4.530 1.546 4.027
O 1.308 4.268 4.198
O 4.525 4.236 4.246
O 1.406 1.302 0.044
O 3.050 2.768 2.096
O 4.383 1.478 0.163
O -0.150 2.835 2.177

***

12
Lattice="2.995 0.000 0.000 0.000 6.066 0.243 -1.497 -1.728 6.224" Properties=species:S:1:pos:R:3 comment="GGA+U LiFe2Ni3O6, optimized geometry" m_tot_mub_per_fu=15.0 space_group="C2/m, No. 12" total_energy_ev_per_atom=-5.516 pbc="T T T"
Li 1.497 0.000 0.000
Fe 1.497 2.932 4.390
Fe 0.000 1.406 2.078
Ni 1.497 3.033 0.122
Ni 1.497 -0.176 4.242
Ni 0.000 4.514 2.226
O 0.000 4.418 4.333
O 1.497 2.961 2.270
O 1.497 -0.080 2.135
O 0.000 1.577 0.088
O 1.497 2.761 6.380
O 0.000 1.377 4.197

***

12
Lattice="6.623 -0.019 0.011 5.990 2.825 0.011 1.318 0.293 5.736" Properties=species:S:1:pos:R:3 comment="GGA+U Li3Fe2NiO6, optimized geometry" m_tot_mub_per_fu=3.1 space_group="C2/m, No. 12" total_energy_ev_per_atom=-5.547 pbc="T T T"
Li 6.965 1.550 2.879
Li 2.285 0.509 0.959
Li 11.645 2.592 4.800
Fe 2.934 0.653 3.850
Fe 10.996 2.447 1.909
Ni 6.306 1.403 0.011
O 9.613 2.139 5.130
O 4.876 1.085 3.223
O 4.317 0.961 0.629
O 12.847 2.859 1.450
O 1.083 0.241 4.309
O 9.054 2.015 2.536

***

Number 1: V 213.0 Å³ per cell. Number 2: V 207.9 Å³ per cell. Number 3: V 180.7 Å³ per cell. Number 4: V 218.7 Å³ per cell. Number 5: V 114.3 Å³ per cell. Number 6: V 107.9 Å³ per cell.